(1)
RbY2OsPt | Alexandria via LeMat-Bulk | GGA-PBE | relaxed; raw total energy = -0.21397 hartree per atom; energy above the lowest structure with this stoichiometry = 0.0 meV per atom; density = 7.2 Mg/m³; ΔH_f (0 K) = 2.05 eV/f.u.; space-group type = No. 123
1.0
-3.158 2.983 3.341
-1.616 -4.160 2.186
4.109 0.302 3.614
Y Os Pt Rb
2 1 1 1
direct
0.000 0.000 0.500
0.500 0.000 0.000
0.000 0.500 0.000
0.000 0.000 0.000
0.500 0.500 0.500

=====

(2)
NbZnP2Cl | Alexandria via LeMat-Bulk | GGA-PBE | relaxed; raw total energy = -0.14487 hartree per atom; energy above the lowest structure with this stoichiometry = 723.7 meV per atom; density = 4.4 Mg/m³; space-group type = No. 123
1.0
-1.975 -3.403 -2.264
-0.139 -2.457 3.814
-4.219 1.786 0.997
P Cl Nb Zn
2 1 1 1
direct
0.500 0.000 0.000
0.000 0.500 0.000
0.000 0.000 0.500
0.500 0.500 0.500
0.000 0.000 0.000

=====

(3)
Ce2YEr6Tm3 | Alexandria via LeMat-Bulk | GGA-PBE | relaxed; raw total energy = -0.17918 hartree per atom; density = 8.5 Mg/m³; ΔH_f (0 K) = 0.61 eV/f.u.; space-group type = No. 12
1.0
6.075 0.000 0.015
-3.036 5.262 0.015
-1.042 -1.804 11.432
Er Ce Tm Y
6 2 3 1
direct
0.748 0.748 0.251
0.252 0.252 0.749
0.580 0.916 0.749
0.916 0.580 0.749
0.084 0.420 0.251
0.420 0.084 0.251
0.333 0.667 0.000
0.667 0.333 0.000
0.500 0.500 0.500
0.834 0.166 0.500
0.166 0.834 0.500
0.000 0.000 0.000

=====

(4)
BeCdOs | Alexandria via LeMat-Bulk | GGA-PBE | relaxed; raw total energy = -0.18450 hartree per atom; energy above the lowest structure with this stoichiometry = 0.0 meV per atom; density = 11.8 Mg/m³; ΔH_f (0 K) = 0.81 eV/f.u.; space-group type = No. 107
1.0
-0.243 -1.640 -5.074
-2.372 -4.132 -2.406
-0.429 4.054 3.446
Cd Os Be
1 1 1
direct
0.334 0.334 0.000
0.628 0.628 0.000
0.038 0.038 0.000

=====

(5)
Pm2Se2Cl | Alexandria via LeMat-Bulk | GGA-PBE | relaxed; raw total energy = -0.20674 hartree per atom; energy above the lowest structure with this stoichiometry = 0.0 meV per atom; density = 5.4 Mg/m³; space-group type = No. 139
1.0
4.035 0.000 -1.059
-0.278 4.025 -1.059
0.210 0.225 9.017
Pm Se Cl
2 2 1
direct
0.160 0.160 0.319
0.840 0.840 0.681
0.663 0.663 0.327
0.337 0.337 0.673
0.000 0.000 0.000

=====

(6)
Tb6InS4 | Alexandria via LeMat-Bulk | GGA-PBE | relaxed; raw total energy = -0.21507 hartree per atom; density = 7.5 Mg/m³; space-group type = No. 63
1.0
3.952 0.000 0.000
-1.976 6.598 0.000
0.000 0.000 20.208
S Tb In
8 12 2
direct
0.138 0.275 0.039
0.862 0.725 0.539
0.862 0.725 0.961
0.594 0.188 0.621
0.406 0.812 0.379
0.406 0.812 0.121
0.138 0.275 0.461
0.594 0.188 0.879
0.039 0.078 0.343
0.500 0.000 0.500
0.653 0.307 0.750
0.039 0.078 0.157
0.228 0.457 0.916
0.228 0.457 0.584
0.961 0.922 0.657
0.772 0.543 0.084
0.500 0.000 0.000
0.347 0.693 0.250
0.772 0.543 0.416
0.961 0.922 0.843
0.337 0.673 0.750
0.663 0.327 0.250